# VInO4, relaxed, DFT PBE+U
# Electronic total energy (eV per atom): -6.757
# Crystal system: orthorhombic
data_VInO4
_cell_length_a 5.8337
_cell_length_b 8.7153
_cell_length_c 6.7491
_cell_angle_alpha 90.00
_cell_angle_beta 90.00
_cell_angle_gamma 90.00
_space_group_name_H-M_alt 'C m c m'
_space_group_IT_number 63
_space_group_name_Hall '-C 2c 2'
loop_
_atom_site_label
_atom_site_type_symbol
_atom_site_fract_x
_atom_site_fract_y
_atom_site_fract_z
V1 V 0.0000 0.1423 0.2500
In1 In 0.0000 0.5000 0.0000
O1 O 0.0000 0.2547 0.0457
O2 O 0.2421 0.4729 0.7500